P2BrCl after structural relaxation, computed with PBE.

Geometry as CIF:
```
data_P2BrCl
_chemical_formula_sum 'P4 Br2 Cl2'
_cell_length_a 11.168
_cell_length_b 3.431
_cell_length_c 7.174
_cell_angle_alpha 90.00
_cell_angle_beta 128.13
_cell_angle_gamma 90.00
_space_group_name_H-M_alt 'C 1 2/m 1'
_space_group_IT_number 12
loop_
_space_group_symop_operation_xyz
'x,y,z'
'-x,-y,-z'
'-x,y,-z'
'x,-y,z'
'x+1/2,y+1/2,z'
'-x+1/2,-y+1/2,-z'
'-x+1/2,y+1/2,-z'
'x+1/2,-y+1/2,z'
loop_
_atom_site_label
_atom_site_type_symbol
_atom_site_fract_x
_atom_site_fract_y
_atom_site_fract_z
P1 P 0.171 0.000 0.445
Br1 Br 0.000 0.000 0.000
Cl1 Cl 0.000 0.500 0.500
```

Calculated values
Uncorrected energy = -3.502 eV/atom
Formation energy without anion corrections = 0.33 eV/f.u.
Relative energy among the computed polymorphs = 323.6 meV per atom
D(E_F) = 1.47 states/eV/f.u.